The following is a PBE calculation of a relaxed structure of Sr2ZrRePd, from Alexandria. Values from VASP.

## Properties
- SG: No. 123
- Calculated total energy: -5.144 eV per atom
- Volume: 168 Å³/cell

Geometry as Quantum ESPRESSO input:
```
&SYSTEM
  ibrav = 0, nat = 5, ntyp = 4
/
ATOMIC_SPECIES
Zr 91.22 Zr.upf
Re 186.21 Re.upf
Pd 106.42 Pd.upf
Sr 87.62 Sr.upf
ATOMIC_POSITIONS angstrom
Zr 0.000 2.439 0.000
Re 0.000 0.000 0.000
Pd 2.936 2.439 2.936
Sr 0.000 0.000 2.936
Sr 2.936 0.000 0.000
CELL_PARAMETERS angstrom
5.873 0.000 0.000
0.000 4.877 0.000
0.000 0.000 5.873
```

The following is a PBE calculation of a relaxed structure of LiInF4, from Alexandria. Values from VASP.

## Properties
- SG: No. 14
- Volume: 157 Å³/cell
- ΔE_f (raw): -2.655 eV per atom

Geometry as Quantum ESPRESSO input:
```
&SYSTEM
  ibrav = 0, nat = 12, ntyp = 3
/
ATOMIC_SPECIES
F 19.00 F.upf
Li 6.94 Li.upf
In 114.82 In.upf
ATOMIC_POSITIONS angstrom
F -4.640 -1.788 -0.839
F -3.695 -0.376 -3.357
F -2.752 2.344 -2.405
Li -2.622 2.747 -0.306
In 0.000 0.000 0.000
F -4.533 3.491 -0.346
In -1.784 -1.116 -3.276
F -2.859 -2.936 -2.898
Li -2.987 -1.076 0.338
F -1.636 -0.751 -1.171
F -5.756 1.306 -2.073
F -3.697 0.931 0.113
CELL_PARAMETERS angstrom
-1.418 2.706 -3.920
-2.149 -4.938 -2.632
-3.825 2.787 3.308
```

The following is a PBE calculation of a relaxed structure of TaTe2IF, from Alexandria. Values from VASP.

## Properties
- SG: No. 123
- Volume: 157 Å³/cell
- ΔE_f (raw): -0.074 eV per atom

Geometry as Quantum ESPRESSO input:
```
&SYSTEM
  ibrav = 0, nat = 5, ntyp = 4
/
ATOMIC_SPECIES
Te 127.60 Te.upf
F 19.00 F.upf
I 126.90 I.upf
Ta 180.95 Ta.upf
ATOMIC_POSITIONS angstrom
Te -0.349 -2.230 -1.421
F -3.077 -3.363 1.026
I -2.733 0.301 0.198
Ta 0.000 0.000 0.000
Te 0.005 -1.434 2.249
CELL_PARAMETERS angstrom
-0.698 -4.460 -2.842
0.010 -2.868 4.498
-5.465 0.603 0.396
```

The following is a PBE calculation of a relaxed structure of TmScTlPt, from Alexandria. Values from VASP.

## Properties
- SG: No. 216
- Calculated total energy: -5.486 eV per atom
- Volume: 87 Å³/cell

Geometry as Quantum ESPRESSO input:
```
&SYSTEM
  ibrav = 0, nat = 4, ntyp = 4
/
ATOMIC_SPECIES
Sc 44.96 Sc.upf
Pt 195.08 Pt.upf
Tl 204.38 Tl.upf
Tm 168.93 Tm.upf
ATOMIC_POSITIONS angstrom
Sc -2.921 -3.399 -4.142
Pt -4.382 -5.099 -6.213
Tl -1.461 -1.700 -2.071
Tm 0.000 0.000 0.000
CELL_PARAMETERS angstrom
-2.378 0.074 -4.378
0.423 -3.853 -3.131
-3.887 -3.019 -0.775
```